{
  "formula": "GdTh2Cd",
  "functional": "PBE",
  "state": "optimized geometry",
  "m_tot_mub_per_cell": 7.384,
  "relative_energy_mev_per_atom": 0.0,
  "lattice_angstrom": [[5.008, 0.000, 0.000], [0.000, 4.871, 0.000], [0.000, 0.000, 4.871]],
  "species": ["Gd", "Th", "Th", "Cd"],
  "fractional_positions": [[0.500, 0.500, 0.500], [0.000, 0.000, 0.500], [0.000, 0.500, 0.000], [0.500, 0.000, 0.000]]
}